(1)
VASP calculation (PBE) on a relaxed SbPtO2F crystal.

Calculated values
N(E_F)	0.458	states/eV/atom
uncorrected formation energy	-242	meV per atom

Geometry as extended XYZ:
```
5
Lattice="4.1161 0.0000 0.0000 0.0000 4.1161 0.0000 0.0000 0.0000 4.2236" Properties=species:S:1:pos:R:3 pbc="T T T"
Pt 0.0000 0.0000 0.0000
F 0.0000 0.0000 2.1118
O 2.0580 0.0000 0.0000
O 0.0000 2.0580 0.0000
Sb 2.0580 2.0580 2.1118
```

***

(2)
VASP calculation (PBE) on a relaxed Ac2Y3Co2 crystal.

Calculated values
N(E_F)	0.857	states/eV/atom
energy of formation	-0.0538	eV per atom

Geometry as extended XYZ:
```
7
Lattice="-0.8806 -2.0669 3.2527 1.9049 -8.0137 -4.5692 5.6164 -3.3912 1.7729" Properties=species:S:1:pos:R:3 pbc="T T T"
Y 4.6828 -8.9945 -2.0336
Y 0.0000 0.0000 0.0000
Y 1.9579 -4.4774 2.4900
Ac 1.9036 -6.2991 -1.0792
Ac 4.7372 -7.1727 1.5356
Co 5.7705 -11.1248 -0.6892
Co 0.8702 -2.3470 1.1456
```

***

(3)
VASP calculation (PBE) on a relaxed Sc2Sb crystal.

Calculated values
N(E_F)	0.867	states/eV/atom
uncorrected formation energy	-785	meV per atom

Geometry as extended XYZ:
```
6
Lattice="-1.9455 -3.2558 -1.8623 -1.2918 -1.3879 3.7760 -6.5397 4.2892 -0.6628" Properties=species:S:1:pos:R:3 pbc="T T T"
Sb -2.8262 -0.3686 0.4498
Sb -7.3213 -0.8008 1.1141
Sc -4.8657 -2.4145 1.3640
Sc -5.2817 1.2453 0.1998
Sc -8.5069 1.0931 -0.9592
Sc -8.1801 2.0271 1.8601
```

***

(4)
VASP calculation (PBE) on a relaxed Cs3RbIn2Cl6 crystal.

Calculated values
N(E_F)	0.000	states/eV/atom
uncorrected formation energy	-1566	meV per atom

Geometry as extended XYZ:
```
12
Lattice="-6.0189 -5.3768 -2.1240 7.0951 0.2660 -4.3859 2.7725 -3.6732 6.9113" Properties=species:S:1:pos:R:3 pbc="T T T"
Cs 1.9244 -4.3920 0.2006
Cs -2.4437 -6.2715 0.9541
Cs 6.2925 -2.5124 -0.5528
Cl 5.1652 -5.7321 0.0310
Cl 2.4148 -4.1612 3.6197
Cl 1.4340 -4.6228 -3.2184
Cl 3.1176 -1.1439 -0.3945
Cl -1.3164 -3.0518 0.3703
Cl 0.7312 -7.6400 0.7958
In -1.6489 -3.4964 -2.8778
In 2.7251 -1.6144 -3.6322
Rb 0.0000 0.0000 0.0000
```